# 1
Zn4AsPb | meta-GGA SCAN | PBEsol geometry

Summary:
The density of states at the Fermi level comes out at 0.405 states/eV/atom. The crystal system is cubic. For the calculated total energy, the calculation gives -24.758 eV per atom.

abc: 5.324 5.324 5.324
angles: 60.00 60.00 60.00
Atoms (fractional coordinates):
1 As 0.750 0.750 0.750
2 Pb 0.000 0.000 0.000
3 Zn 0.375 0.375 0.375
4 Zn 0.375 0.375 0.874
5 Zn 0.874 0.375 0.375
6 Zn 0.375 0.874 0.375

=====

# 2
Zn2As2Pb | meta-GGA SCAN | PBEsol geometry

Summary:
The density of states at the Fermi level comes out at 0.287 states/eV/atom. The crystal system is tetragonal. The relative energy among the computed polymorphs is 151 meV per atom. For the calculated total energy, the calculation gives -28.515 eV per atom.

abc: 4.307 4.307 6.233
angles: 110.21 110.21 90.00
Atoms (fractional coordinates):
1 Pb 0.000 0.000 0.000
2 As 0.250 0.750 0.500
3 As 0.750 0.250 0.500
4 Zn 0.389 0.389 0.778
5 Zn 0.611 0.611 0.222